[1]
A plane-wave DFT calculation with GGA+U was carried out for crystalline YCrO2 at its relaxed geometry.

POSCAR file:
```
YCrO2
1.0
2.395 -3.333 -0.126
-1.530 -3.668 1.033
-0.609 -2.858 -2.886
Y Cr O
1 1 2
Direct
0.500 0.500 0.500
0.000 0.000 0.000
0.250 0.250 0.250
0.750 0.750 0.750
```

Results
The total DFT energy (no corrections) is -7.79 eV per atom. For the total magnetization, the calculation gives 5.0 μB per formula unit.

[2]
A plane-wave DFT calculation with GGA+U was carried out for crystalline YCrO4 at its relaxed geometry.

POSCAR file:
```
YCrO4
1.0
5.064 0.000 0.000
-2.532 6.238 0.000
0.000 2.055 4.628
Y O Cr
2 8 2
Direct
0.875 0.250 0.375
0.125 0.750 0.625
0.194 0.405 0.653
0.806 0.595 0.347
0.289 0.595 0.058
0.153 0.095 0.211
0.847 0.905 0.789
0.711 0.405 0.942
0.558 0.905 0.306
0.442 0.095 0.694
0.625 0.750 0.125
0.375 0.250 0.875
```

Results
The total DFT energy (no corrections) is -7.92 eV per atom. For the total magnetization, the calculation gives 1.0 μB per formula unit.

[3]
A plane-wave DFT calculation with GGA+U was carried out for crystalline YCrO3 at its relaxed geometry.

POSCAR file:
```
YCrO3
1.0
2.062 0.903 5.667
-5.844 1.120 -1.333
-2.816 -11.325 2.830
O Cr Y
18 6 6
Direct
0.333 0.667 0.521
0.667 0.333 0.021
0.667 0.333 0.521
0.306 0.306 0.664
0.000 0.360 0.839
0.333 0.667 0.021
0.000 0.640 0.339
0.306 0.000 0.164
0.360 0.360 0.339
0.000 0.000 0.477
0.694 0.000 0.664
0.694 0.694 0.164
0.000 0.306 0.164
0.360 0.000 0.839
0.640 0.640 0.839
0.000 0.694 0.664
0.000 0.000 0.977
0.640 0.000 0.339
0.333 0.333 0.501
0.333 0.000 0.001
0.667 0.667 0.001
0.000 0.333 0.001
0.000 0.667 0.501
0.667 0.000 0.501
0.667 0.333 0.234
0.333 0.667 0.234
0.667 0.333 0.734
0.000 0.000 0.276
0.000 0.000 0.776
0.333 0.667 0.734
```

Results
The total DFT energy (no corrections) is -8.40 eV per atom. For the total magnetization, the calculation gives 3.0 μB per formula unit.

[4]
A plane-wave DFT calculation with GGA+U was carried out for crystalline YZnCrO2 at its relaxed geometry.

POSCAR file:
```
YZnCrO2
1.0
-1.313 1.459 3.552
2.096 -4.119 2.467
3.479 2.039 0.449
O Y Zn Cr
2 1 1 1
Direct
0.500 0.000 0.000
0.000 0.000 0.500
0.000 0.500 0.000
0.000 0.000 0.000
0.500 0.500 0.500
```

Results
The total DFT energy (no corrections) is -4.81 eV per atom. For the total magnetization, the calculation gives 5.0 μB per formula unit.

[5]
A plane-wave DFT calculation with GGA+U was carried out for crystalline ZnCr5O8 at its relaxed geometry.

POSCAR file:
```
ZnCr5O8
1.0
5.231 0.000 3.020
1.744 4.932 3.020
0.000 0.000 6.040
Cr Zn O
5 1 8
Direct
0.000 0.000 0.000
0.125 0.625 0.625
0.625 0.125 0.625
0.625 0.625 0.125
0.625 0.625 0.625
0.250 0.250 0.250
0.415 0.862 0.862
0.862 0.862 0.415
0.840 0.387 0.387
0.862 0.415 0.862
0.387 0.840 0.387
0.387 0.387 0.840
0.862 0.862 0.862
0.387 0.387 0.387
```

Results
The total DFT energy (no corrections) is -7.43 eV per atom. For the total magnetization, the calculation gives 16.0 μB per formula unit.

[6]
A plane-wave DFT calculation with GGA+U was carried out for crystalline ZnCr4O6 at its relaxed geometry.

POSCAR file:
```
ZnCr4O6
1.0
1.500 -5.057 0.000
1.500 5.057 0.000
0.000 0.000 15.332
Zn Cr O
2 8 12
Direct
0.341 0.659 0.250
0.659 0.341 0.750
0.596 0.404 0.364
0.864 0.136 0.454
0.136 0.864 0.954
0.404 0.596 0.636
0.136 0.864 0.546
0.864 0.136 0.046
0.404 0.596 0.864
0.596 0.404 0.136
0.500 0.500 0.500
0.785 0.215 0.580
0.299 0.701 0.750
0.701 0.299 0.250
0.962 0.038 0.339
0.215 0.785 0.080
0.038 0.962 0.661
0.500 0.500 0.000
0.962 0.038 0.161
0.215 0.785 0.420
0.785 0.215 0.920
0.038 0.962 0.839
```

Results
The total DFT energy (no corrections) is -7.15 eV per atom. For the total magnetization, the calculation gives 14.0 μB per formula unit.